Below is Tb2GdCd after structural relaxation, with properties calculated at the PBE level.

## Properties
- calculated formation energy (eV per formula unit) = -0.421
- crystal system = orthorhombic
- space group = Ama2
- DFT total energy (eV/atom) = -3.807

Lattice parameters (Å, degrees): 5.4811 6.9449 6.9449 120.01 90.00 90.00
Fractional coordinates of all 8 atoms:
Cd1 0.7500 0.6665 0.3327
Tb1 0.2500 0.3442 0.1723
Tb2 0.7500 0.1723 0.3442
Gd1 0.7500 0.6556 0.8279
Cd2 0.2500 0.3327 0.6665
Tb3 0.2500 0.8284 0.1724
Gd2 0.2500 0.8279 0.6556
Tb4 0.7500 0.1724 0.8284